Computed, not measured: an optimized crystal structure of KLa2Os at the PBE level of DFT.

CIF file:
```
data_KLa2Os
_chemical_formula_sum 'K1 La2 Os1'
_space_group_name_H-M_alt 'P 1'
_space_group_IT_number 1
_space_group_name_Hall 'P 1'
_cell_length_a 6.269
_cell_length_b 6.269
_cell_length_c 6.269
_cell_angle_alpha 138.44
_cell_angle_beta 138.44
_cell_angle_gamma 60.22
loop_
_atom_site_label
_atom_site_type_symbol
_atom_site_fract_x
_atom_site_fract_y
_atom_site_fract_z
K1 K 0.750 0.250 0.500
La1 La 0.000 0.000 0.000
La2 La 0.250 0.750 0.500
Os1 Os 0.500 0.500 0.000
```

- ΔE_f (eV/f.u.) = 2.849
- magnetization (Bohr magnetons per cell) = 0.000
- excess energy over the best structure of this formula in the dataset (kcal/mol of atoms) = 17.35
- density (Mg/m³) = 7.849

***

Computed, not measured: an optimized crystal structure of KLa2Os at the PBE level of DFT.

CIF file:
```
data_KLa2Os
_chemical_formula_sum 'K1 La2 Os1'
_space_group_name_H-M_alt 'P 1'
_space_group_IT_number 1
_space_group_name_Hall 'P 1'
_cell_length_a 4.280
_cell_length_b 4.280
_cell_length_c 10.745
_cell_angle_alpha 78.60
_cell_angle_beta 78.60
_cell_angle_gamma 59.99
loop_
_atom_site_label
_atom_site_type_symbol
_atom_site_fract_x
_atom_site_fract_y
_atom_site_fract_z
K1 K 0.750 0.750 0.750
Os1 Os 0.250 0.250 0.250
La1 La 0.963 0.963 0.112
La2 La 0.537 0.537 0.388
```

- ΔE_f (eV/f.u.) = -0.160
- magnetization (Bohr magnetons per cell) = 0.000
- excess energy over the best structure of this formula in the dataset (kcal/mol of atoms) = 0.00
- density (Mg/m³) = 5.074

***

Computed, not measured: an optimized crystal structure of KLa2Os at the PBE level of DFT.

CIF file:
```
data_KLa2Os
_chemical_formula_sum 'K2 La4 Os2'
_space_group_name_H-M_alt 'P 1'
_space_group_IT_number 1
_space_group_name_Hall 'P 1'
_cell_length_a 8.546
_cell_length_b 8.546
_cell_length_c 8.542
_cell_angle_alpha 59.98
_cell_angle_beta 59.98
_cell_angle_gamma 90.00
loop_
_atom_site_label
_atom_site_type_symbol
_atom_site_fract_x
_atom_site_fract_y
_atom_site_fract_z
K1 K 0.500 0.500 0.000
K2 K 0.250 0.750 0.500
Os1 Os 0.000 0.000 0.000
Os2 Os 0.750 0.250 0.500
La1 La 0.874 0.125 0.250
La2 La 0.876 0.625 0.250
La3 La 0.375 0.126 0.750
La4 La 0.875 0.124 0.750
```

- ΔE_f (eV/f.u.) = 1.324
- magnetization (Bohr magnetons per cell) = 0.000
- excess energy over the best structure of this formula in the dataset (kcal/mol of atoms) = 8.56
- density (Mg/m³) = 3.820

***

Computed, not measured: an optimized crystal structure of K2LaOs at the PBE level of DFT.

CIF file:
```
data_K2LaOs
_chemical_formula_sum 'K2 La1 Os1'
_space_group_name_H-M_alt 'P 1'
_space_group_IT_number 1
_space_group_name_Hall 'P 1'
_cell_length_a 3.838
_cell_length_b 3.838
_cell_length_c 10.686
_cell_angle_alpha 90.00
_cell_angle_beta 90.00
_cell_angle_gamma 90.00
loop_
_atom_site_label
_atom_site_type_symbol
_atom_site_fract_x
_atom_site_fract_y
_atom_site_fract_z
K1 K 0.000 0.000 0.921
K2 K 0.500 0.500 0.297
La1 La 0.000 0.000 0.600
Os1 Os 0.500 0.500 0.682
```

- ΔE_f (eV/f.u.) = 1.852
- magnetization (Bohr magnetons per cell) = 0.000
- excess energy over the best structure of this formula in the dataset (kcal/mol of atoms) = 0.27
- density (Mg/m³) = 4.297

***

Computed, not measured: an optimized crystal structure of K2LaOs at the PBE level of DFT.

CIF file:
```
data_K2LaOs
_chemical_formula_sum 'K2 La1 Os1'
_space_group_name_H-M_alt 'P 1'
_space_group_IT_number 1
_space_group_name_Hall 'P 1'
_cell_length_a 5.441
_cell_length_b 5.441
_cell_length_c 5.441
_cell_angle_alpha 60.00
_cell_angle_beta 60.00
_cell_angle_gamma 60.00
loop_
_atom_site_label
_atom_site_type_symbol
_atom_site_fract_x
_atom_site_fract_y
_atom_site_fract_z
K1 K 0.250 0.250 0.250
K2 K 0.750 0.750 0.750
Os1 Os 0.500 0.500 0.500
La1 La 0.000 0.000 0.000
```

- ΔE_f (eV/f.u.) = 5.793
- magnetization (Bohr magnetons per cell) = 0.000
- excess energy over the best structure of this formula in the dataset (kcal/mol of atoms) = 23.00
- density (Mg/m³) = 5.939

***

Computed, not measured: an optimized crystal structure of KLa2Os at the PBE level of DFT.

CIF file:
```
data_KLa2Os
_chemical_formula_sum 'K1 La2 Os1'
_space_group_name_H-M_alt 'P 1'
_space_group_IT_number 1
_space_group_name_Hall 'P 1'
_cell_length_a 6.505
_cell_length_b 6.505
_cell_length_c 6.505
_cell_angle_alpha 143.83
_cell_angle_beta 118.45
_cell_angle_gamma 73.53
loop_
_atom_site_label
_atom_site_type_symbol
_atom_site_fract_x
_atom_site_fract_y
_atom_site_fract_z
K1 K 0.250 0.750 0.500
La1 La 0.927 0.927 0.000
La2 La 0.573 0.573 0.000
Os1 Os 0.750 0.250 0.500
```

- ΔE_f (eV/f.u.) = 1.089
- magnetization (Bohr magnetons per cell) = 0.000
- excess energy over the best structure of this formula in the dataset (kcal/mol of atoms) = 7.20
- density (Mg/m³) = 6.010

***

Computed, not measured: an optimized crystal structure of KLaOs2 at the PBE level of DFT.

CIF file:
```
data_KLaOs2
_chemical_formula_sum 'K1 La1 Os2'
_space_group_name_H-M_alt 'P 1'
_space_group_IT_number 1
_space_group_name_Hall 'P 1'
_cell_length_a 5.698
_cell_length_b 5.698
_cell_length_c 5.698
_cell_angle_alpha 137.93
_cell_angle_beta 137.93
_cell_angle_gamma 61.00
loop_
_atom_site_label
_atom_site_type_symbol
_atom_site_fract_x
_atom_site_fract_y
_atom_site_fract_z
K1 K 0.250 0.750 0.500
La1 La 0.750 0.250 0.500
Os1 Os 0.000 0.000 0.000
Os2 Os 0.500 0.500 0.000
```

- ΔE_f (eV/f.u.) = 4.819
- magnetization (Bohr magnetons per cell) = 0.801
- excess energy over the best structure of this formula in the dataset (kcal/mol of atoms) = 20.59
- density (Mg/m³) = 11.292

***

Computed, not measured: an optimized crystal structure of KLa2Os at the PBE level of DFT.

CIF file:
```
data_KLa2Os
_chemical_formula_sum 'K1 La2 Os1'
_space_group_name_H-M_alt 'P 1'
_space_group_IT_number 1
_space_group_name_Hall 'P 1'
_cell_length_a 5.102
_cell_length_b 5.102
_cell_length_c 4.203
_cell_angle_alpha 89.96
_cell_angle_beta 89.96
_cell_angle_gamma 89.99
loop_
_atom_site_label
_atom_site_type_symbol
_atom_site_fract_x
_atom_site_fract_y
_atom_site_fract_z
K1 K 0.000 0.500 0.500
La1 La 0.000 0.000 0.000
La2 La 0.500 0.500 0.000
Os1 Os 0.500 0.000 0.500
```

- ΔE_f (eV/f.u.) = 2.616
- magnetization (Bohr magnetons per cell) = 0.000
- excess energy over the best structure of this formula in the dataset (kcal/mol of atoms) = 16.01
- density (Mg/m³) = 7.696

***

Computed, not measured: an optimized crystal structure of KLa2Os at the PBE level of DFT.

CIF file:
```
data_KLa2Os
_chemical_formula_sum 'K1 La2 Os1'
_space_group_name_H-M_alt 'P 1'
_space_group_IT_number 1
_space_group_name_Hall 'P 1'
_cell_length_a 10.702
_cell_length_b 10.702
_cell_length_c 10.702
_cell_angle_alpha 159.69
_cell_angle_beta 157.55
_cell_angle_gamma 30.45
loop_
_atom_site_label
_atom_site_type_symbol
_atom_site_fract_x
_atom_site_fract_y
_atom_site_fract_z
K1 K 0.316 0.816 0.500
La1 La 0.997 0.997 0.000
La2 La 0.642 0.142 0.500
Os1 Os 0.544 0.544 0.000
```

- ΔE_f (eV/f.u.) = 0.722
- magnetization (Bohr magnetons per cell) = 0.000
- excess energy over the best structure of this formula in the dataset (kcal/mol of atoms) = 5.09
- density (Mg/m³) = 5.187

***

Computed, not measured: an optimized crystal structure of KLaOs2 at the PBE level of DFT.

CIF file:
```
data_KLaOs2
_chemical_formula_sum 'K1 La1 Os2'
_space_group_name_H-M_alt 'P 1'
_space_group_IT_number 1
_space_group_name_Hall 'P 1'
_cell_length_a 5.593
_cell_length_b 5.593
_cell_length_c 7.387
_cell_angle_alpha 61.26
_cell_angle_beta 61.26
_cell_angle_gamma 45.19
loop_
_atom_site_label
_atom_site_type_symbol
_atom_site_fract_x
_atom_site_fract_y
_atom_site_fract_z
K1 K 0.750 0.750 0.750
La1 La 0.250 0.250 0.250
Os1 Os 0.015 0.015 0.171
Os2 Os 0.485 0.485 0.329
```

- ΔE_f (eV/f.u.) = 2.630
- magnetization (Bohr magnetons per cell) = 0.000
- excess energy over the best structure of this formula in the dataset (kcal/mol of atoms) = 7.97
- density (Mg/m³) = 6.625